# 1
This record from the Alexandria database describes a relaxed structure of Y2HO. The functional is PBE-GGA.

```
Y2HO
1.0
1.741 1.005 5.658
-1.741 1.005 5.658
0.000 -2.010 5.658
Y H O
2 1 1
direct
0.246 0.246 0.246
0.754 0.754 0.754
0.000 0.000 0.000
0.500 0.500 0.500
```

Output
Crystal system: trigonal
Total magnetic moment: 0.00 μB/f.u.
E: -27.414 eV for the cell shown

---

# 2
This record from the Alexandria database describes a relaxed structure of YHO2. The functional is PBE-GGA.

```
YHO2
1.0
3.522 0.000 0.000
0.000 4.888 0.000
0.000 0.000 5.515
Y H O
2 2 4
direct
0.000 0.220 0.000
0.500 0.780 0.500
0.000 0.315 0.478
0.500 0.685 0.978
0.000 0.018 0.639
0.000 0.483 0.370
0.500 0.517 0.870
0.500 0.982 0.139
```

Output
Crystal system: orthorhombic
Total magnetic moment: 0.00 μB/f.u.
E: -60.427 eV for the cell shown

---

# 3
This record from the Alexandria database describes a relaxed structure of YHO2. The functional is PBE-GGA.

```
YHO2
1.0
4.348 0.000 0.000
0.000 3.675 0.000
-1.968 0.000 5.693
Y H O
2 2 4
direct
0.168 0.250 0.312
0.832 0.750 0.688
0.478 0.750 0.075
0.522 0.250 0.925
0.249 0.750 0.062
0.266 0.750 0.550
0.734 0.250 0.450
0.751 0.250 0.938
```

Output
Crystal system: monoclinic
Total magnetic moment: 0.00 μB/f.u.
E: -60.582 eV for the cell shown

---

# 4
This record from the Alexandria database describes a relaxed structure of YHO2. The functional is PBE-GGA.

```
YHO2
1.0
-2.163 2.163 5.153
2.163 -2.163 5.153
2.163 2.163 -5.153
Y H O
2 2 4
direct
0.000 0.000 0.000
0.750 0.250 0.500
0.250 0.750 0.500
0.500 0.500 0.000
0.186 0.625 0.061
0.375 0.436 0.561
0.564 0.125 0.939
0.875 0.814 0.439
```

Output
Crystal system: tetragonal
Total magnetic moment: 0.00 μB/f.u.
E: -52.146 eV for the cell shown

---

# 5
This record from the Alexandria database describes a relaxed structure of YHO2. The functional is PBE-GGA.

```
YHO2
1.0
0.000 2.726 2.726
2.726 0.000 2.726
2.726 2.726 0.000
Y H O
1 1 2
direct
0.000 0.000 0.000
0.500 0.500 0.500
0.250 0.250 0.250
0.750 0.750 0.750
```

Output
Crystal system: cubic
Total magnetic moment: 0.00 μB/f.u.
E: -26.071 eV for the cell shown

---

# 6
This record from the Alexandria database describes a relaxed structure of YZnH2O. The functional is PBE-GGA.

```
YZnH2O
1.0
3.831 0.000 0.000
0.000 3.831 0.000
0.000 0.000 6.117
Y Zn H O
1 1 2 1
direct
0.000 0.000 0.000
0.000 0.000 0.500
0.000 0.500 0.000
0.500 0.000 0.000
0.500 0.500 0.500
```

Output
Crystal system: tetragonal
Total magnetic moment: 0.00 μB/f.u.
E: -18.434 eV for the cell shown

---

# 7
This record from the Alexandria database describes a relaxed structure of YbHO2. The functional is PBE-GGA.

```
YbHO2
1.0
4.338 0.000 0.000
0.000 3.646 0.000
-1.910 0.000 5.640
Yb H O
2 2 4
direct
0.172 0.250 0.309
0.828 0.750 0.691
0.481 0.750 0.082
0.519 0.250 0.918
0.251 0.750 0.067
0.268 0.750 0.558
0.732 0.250 0.442
0.749 0.250 0.933
```

Output
Crystal system: monoclinic
Total magnetic moment: 1.02 μB/f.u.
E: -46.687 eV for the cell shown

---

# 8
This record from the Alexandria database describes a relaxed structure of YbHO2. The functional is PBE-GGA.

```
YbHO2
1.0
5.572 0.000 0.000
0.000 5.572 0.000
0.000 0.000 5.496
Yb H O
4 4 8
direct
0.215 0.285 0.294
0.285 0.785 0.706
0.715 0.215 0.706
0.785 0.715 0.294
0.214 0.286 0.805
0.286 0.786 0.195
0.714 0.214 0.195
0.786 0.714 0.805
0.000 0.000 0.500
0.000 0.500 0.591
0.178 0.678 0.104
0.322 0.178 0.896
0.500 0.000 0.409
0.500 0.500 0.500
0.678 0.822 0.896
0.822 0.322 0.104
```

Output
Crystal system: tetragonal
Total magnetic moment: 1.03 μB/f.u.
E: -93.179 eV for the cell shown

---

> total magnetic moment of number 8 (YbHO2)?

1.03 μB/f.u.